# 1
VASP calculation (PBE) on NiWAu2 after structural relaxation.

Cell lengths 4.8616, 4.8616, 4.9125 Å; angles 81.43, 81.43, 33.22 degrees
Atoms (fractional coordinates):
Au1 0.5007 0.5007 0.4980
Ni1 0.2500 0.2500 0.2500
W1 0.7500 0.7500 0.7500
Au2 0.9993 0.9993 0.0020

energy of formation from the pure elements: 0.3618 eV per atom
symmetry: C2/m (12)


# 2
VASP calculation (PBE) on Ni2WAu after structural relaxation.

Cell lengths 4.7276, 4.7276, 4.5519 Å; angles 78.81, 78.81, 33.76 degrees
Atoms (fractional coordinates):
Au1 0.7472 0.7472 0.7653
Ni1 0.2531 0.2531 0.2625
Ni2 0.9923 0.9923 0.0020
W1 0.5074 0.5074 0.4701

energy of formation from the pure elements: 0.1596 eV per atom
symmetry: Cm (8)


Number 1: distance to the lowest polymorph of the same formula 237 meV/atom, E_tot -5.961 eV/atom. Number 2: distance to the lowest polymorph of the same formula 130 meV/atom, E_tot -6.789 eV/atom.